BaCrSeO6 | the Alexandria database | PBE+U | optimized geometry; magnetization = 0.22 μB/atom; final energy = -56.7 eV per cell
1.0
2.567 -4.328 0.000
2.567 4.328 0.000
-0.131 0.000 5.821
Ba Cr Se O
1 1 1 6
Direct
0.000 0.000 0.000
0.328 0.672 0.500
0.670 0.330 0.500
0.402 0.379 0.318
0.407 0.010 0.686
0.621 0.598 0.682
0.623 0.013 0.319
0.987 0.377 0.681
0.990 0.593 0.314